[1]
A relaxed structure of LaNi3, computed with PBE.

a b c (Å): 3.7110 3.7110 6.0613
angles (deg): 90.00 90.00 120.00
Space group P-6m2 (No. 187)
Symmetry-distinct sites (fractional):
La1 0.0000 0.0000 0.0000 (multiplicity 1)
Ni1 0.0000 0.0000 0.5000 (multiplicity 1)
Ni2 0.3333 0.6667 0.3085 (multiplicity 2)

Results
Size of the total moment = 0.24 Bohr magnetons per cell
Mass density = 7.24 Mg/m³
ΔE_f = 0.24 eV per atom

=====

[2]
A relaxed structure of CoNiTe4, computed with PBE.

a b c (Å): 12.699 3.841 6.705
angles (deg): 90.00 121.46 90.00
Space group C2/m (No. 12)
Symmetry-distinct sites (fractional):
Co1 0.000 0.000 0.000 (multiplicity 2)
Ni1 0.000 0.500 0.500 (multiplicity 2)
Te1 0.119 0.000 0.791 (multiplicity 4)
Te2 0.119 0.500 0.281 (multiplicity 4)

Results
Size of the total moment = 0.00 Bohr magnetons per cell
Mass density = 7.48 Mg/m³
Polymorph energy (0 for the lowest one) = 0.000 eV per atom